[1]
A relaxed VPd7 crystal, computed with PBE-GGA.

a b c (Å): 3.930 3.930 8.275
angles (deg): 103.74 103.74 90.00
Fractional positions:
Pd 0.381 0.881 0.762
Pd 0.251 0.251 0.502
Pd 0.749 0.749 0.498
Pd 0.619 0.119 0.238
Pd 0.881 0.381 0.762
Pd 0.119 0.619 0.238
Pd 0.500 0.500 0.000
V 0.000 0.000 0.000

Properties
As for the total magnetic moment: 0.39 Bohr magnetons per cell. Its total DFT energy (no corrections) is -0.4297 Ry/atom. The calculation puts the formation energy at -163 meV/atom. Its symmetry is No. 139.

[2]
A relaxed VPd crystal, computed with PBE-GGA.

a b c (Å): 10.338 10.338 2.742
angles (deg): 90.00 90.00 90.00
Fractional positions:
Pd 0.160 0.551 0.000
Pd 0.949 0.660 0.500
Pd 0.340 0.949 0.500
Pd 0.449 0.160 0.000
Pd 0.551 0.840 0.000
Pd 0.660 0.051 0.500
Pd 0.840 0.449 0.000
Pd 0.051 0.340 0.500
V 0.287 0.334 0.000
V 0.334 0.713 0.000
V 0.666 0.287 0.000
V 0.713 0.666 0.000
V 0.213 0.166 0.500
V 0.834 0.213 0.500
V 0.166 0.787 0.500
V 0.787 0.834 0.500

Properties
As for the total magnetic moment: 0.00 Bohr magnetons per cell. Its total DFT energy (no corrections) is -0.4995 Ry/atom. The calculation puts the formation energy at 360 meV/atom. Its symmetry is No. 87.

[3]
A relaxed V3Pd crystal, computed with PBE-GGA.

a b c (Å): 4.815 4.815 4.815
angles (deg): 90.00 90.00 90.00
Fractional positions:
V 0.750 0.000 0.500
V 0.250 0.000 0.500
V 0.000 0.500 0.250
V 0.500 0.250 0.000
V 0.000 0.500 0.750
V 0.500 0.750 0.000
Pd 0.000 0.000 0.000
Pd 0.500 0.500 0.500

Properties
As for the total magnetic moment: 0.01 Bohr magnetons per cell. Its total DFT energy (no corrections) is -0.6075 Ry/atom. The calculation puts the formation energy at -129 meV/atom. Its symmetry is No. 223.

[4]
A relaxed VPd crystal, computed with PBE-GGA.

a b c (Å): 5.051 5.051 5.090
angles (deg): 90.00 90.00 90.00
Fractional positions:
Pd 0.184 0.184 0.000
Pd 0.816 0.816 0.000
Pd 0.316 0.684 0.500
Pd 0.684 0.316 0.500
V 0.842 0.842 0.500
V 0.342 0.658 0.000
V 0.658 0.342 0.000
V 0.158 0.158 0.500

Properties
As for the total magnetic moment: 0.00 Bohr magnetons per cell. Its total DFT energy (no corrections) is -0.4997 Ry/atom. The calculation puts the formation energy at 357 meV/atom. Its symmetry is No. 136.

[5]
A relaxed VPd crystal, computed with PBE-GGA.

a b c (Å): 9.328 4.422 5.550
angles (deg): 90.00 90.00 90.00
Fractional positions:
Pd 0.166 0.250 0.003
Pd 0.834 0.750 0.997
Pd 0.082 0.750 0.745
Pd 0.334 0.750 0.503
Pd 0.582 0.750 0.755
Pd 0.666 0.250 0.497
Pd 0.918 0.250 0.255
Pd 0.418 0.250 0.245
V 0.838 0.750 0.484
V 0.918 0.250 0.751
V 0.582 0.750 0.251
V 0.338 0.750 0.016
V 0.662 0.250 0.984
V 0.162 0.250 0.516
V 0.418 0.250 0.749
V 0.082 0.750 0.249

Properties
As for the total magnetic moment: 2.78 Bohr magnetons per cell. Its total DFT energy (no corrections) is -0.5367 Ry/atom. The calculation puts the formation energy at -147 meV/atom. Its symmetry is No. 62.

[6]
A relaxed VPd crystal, computed with PBE-GGA.

a b c (Å): 7.084 7.084 4.328
angles (deg): 90.00 90.00 120.00
Fractional positions:
Pd 0.194 0.272 0.750
Pd 0.728 0.922 0.750
Pd 0.806 0.728 0.250
Pd 0.078 0.806 0.750
Pd 0.922 0.194 0.250
Pd 0.272 0.078 0.250
V 0.376 0.498 0.250
V 0.498 0.122 0.750
V 0.624 0.502 0.750
V 0.878 0.376 0.750
V 0.502 0.878 0.250
V 0.122 0.624 0.250

Properties
As for the total magnetic moment: 0.02 Bohr magnetons per cell. Its total DFT energy (no corrections) is -0.5117 Ry/atom. The calculation puts the formation energy at 194 meV/atom. Its symmetry is No. 176.

[7]
A relaxed V2Pd13 crystal, computed with PBE-GGA.

a b c (Å): 4.807 6.253 8.209
angles (deg): 107.62 73.63 97.51
Fractional positions:
Pd 0.599 0.401 0.597
Pd 0.803 0.190 0.782
Pd 0.939 0.405 0.274
Pd 0.000 0.000 0.000
Pd 0.684 0.003 0.344
Pd 0.734 0.600 0.066
Pd 0.197 0.810 0.218
Pd 0.061 0.595 0.726
Pd 0.316 0.997 0.656
Pd 0.464 0.198 0.141
Pd 0.266 0.400 0.934
Pd 0.401 0.599 0.403
Pd 0.536 0.802 0.859
V 0.855 0.784 0.537
V 0.145 0.216 0.463

Properties
As for the total magnetic moment: 0.00 Bohr magnetons per cell. Its total DFT energy (no corrections) is -0.4320 Ry/atom. The calculation puts the formation energy at -161 meV/atom. Its symmetry is No. 2.

[8]
A relaxed V3Pd crystal, computed with PBE-GGA.

a b c (Å): 3.723 3.723 4.845
angles (deg): 112.59 112.59 90.00
Fractional positions:
V 0.500 0.500 0.000
V 0.750 0.250 0.500
V 0.250 0.750 0.500
Pd 0.000 0.000 0.000

Properties
As for the total magnetic moment: 0.57 Bohr magnetons per cell. Its total DFT energy (no corrections) is -0.5974 Ry/atom. The calculation puts the formation energy at 9 meV/atom. Its symmetry is No. 139.

In the order shown, the computed Fermi-level density of states values come out to 8.777; 2.653; 5.892; 1.982; 2.543; 2.919; 14.872; 5.151 states/eV/f.u..